[1]
Pu2ThRu: optimized geometry, PBE-GGA.

Cell lengths 3.358, 3.358, 10.708 Å; angles 80.98, 80.98, 60.00 degrees
Fractional coordinates of all 4 atoms:
Pu 0.102 0.102 0.693
Pu 0.898 0.898 0.307
Th 0.000 0.000 0.000
Ru 0.500 0.500 0.500

Final energy in eV/cell: -44.3
Energy above the lowest structure with this stoichiometry in meV/atom: 286
Space-group type: R-3m

=====

[2]
BaCrNi3: optimized geometry, PBE-GGA.

Cell lengths 4.898, 4.898, 4.898 Å; angles 90.00, 90.00, 90.00 degrees
Fractional coordinates of all 5 atoms:
Ni 0.000 0.500 0.000
Ni 0.500 0.000 0.000
Ni 0.000 0.000 0.500
Cr 0.500 0.500 0.500
Ba 0.000 0.000 0.000

Final energy in eV/cell: -19.1
Energy above the lowest structure with this stoichiometry in meV/atom: 1313
Space-group type: Pm-3m

=====

Formation enthalpy at 0 K per entry: 271; 1955 meV per atom
M_tot per entry: 11.150; 5.102 μB/f.u.
D(E_F) per entry: 13.20; 5.92 states/eV/cell